VASP calculation (PBE) on a relaxed ScReSi2 crystal.

Cell: 3.2046 3.2046 6.0466 Å, 90.00 90.00 90.00°
Fractional positions:
Sc: 0.5000 0.5000 0.7514
Si: 0.0000 0.0000 0.0355
Si: 0.5000 0.5000 0.2670
Re: 0.0000 0.0000 0.4462

Calculated values
DOS(E_F) (states/eV per cell): 1.7
Symmetry: P4mm
ΔE_f (raw) (eV/atom): -0.3563